Computed, not measured: crystalline SbRu2Rh2 at its relaxed geometry at the PBE-GGA level of DFT.

Geometry as extended XYZ:
```
5
Lattice="-3.4605 -0.6319 0.3970 -0.3360 -0.3622 -3.5054 -0.6332 -7.0735 -0.9959" Properties=species:S:1:pos:R:3 pbc="T T T"
Sb 0.0000 0.0000 0.0000
Rh -2.7894 -6.2296 -2.6639
Ru -1.4337 -3.9664 -3.0278
Rh -1.6403 -1.8381 -1.4404
Ru -2.9960 -4.1013 -1.0766
```

Results
- VASP energy: -0.2644 hartree per atom
- ΔE to the lowest computed polymorph: 0.0 meV/atom
- Volume: 16.84 Å³/atom
- Formation energy (no corrections): 0.281 eV per atom
- Space-group type: I4/mmm, No. 139


Computed, not measured: crystalline SbRu2Rh at its relaxed geometry at the PBE-GGA level of DFT.

Geometry as extended XYZ:
```
4
Lattice="-4.5011 0.3842 1.5413 -4.4354 -1.6914 -0.4996 -0.3337 -3.4246 3.4720" Properties=species:S:1:pos:R:3 pbc="T T T"
Sb -6.9527 -3.5489 3.3853
Ru -0.0647 -0.0760 0.0752
Rh -2.3176 -1.1830 1.1284
Ru -4.5705 -2.2899 2.1816
```

Results
- VASP energy: -0.2720 hartree per atom
- Volume: 15.66 Å³/atom
- Formation energy (no corrections): 0.104 eV per atom
- Space-group type: C2/m, No. 12